# PBE Mn2RhN, optimized geometry
# * V: 88.31 Å³ per cell
# * formation energy from raw total energies: 90 meV per atom
data_Mn2RhN
_cell_length_a 4.884
_cell_length_b 4.884
_cell_length_c 4.884
_cell_angle_alpha 105.54
_cell_angle_beta 105.54
_cell_angle_gamma 117.65
_symmetry_space_group_name_H-M 'P 1'
_symmetry_Int_Tables_number 1
_symmetry_space_group_name_Hall 'P 1'
loop_
_atom_site_label
_atom_site_fract_x
_atom_site_fract_y
_atom_site_fract_z
Mn1 0.021 0.625 0.896
Mn2 0.375 0.271 0.396
Mn3 0.729 0.125 0.104
Mn4 0.875 0.979 0.604
Rh1 0.250 0.750 0.500
Rh2 0.500 0.500 0.000
N1 0.000 0.000 0.000
N2 0.750 0.250 0.500